No. 1
A relaxed structure of CaPb3, computed with PBEsol.

The structure in CIF format:
```
data_CaPb3
_chemical_formula_sum 'Ca2 Pb6'
_symmetry_space_group_name_H-M 'I m m m'
_symmetry_Int_Tables_number 71
_symmetry_space_group_name_Hall '-I 2 2'
_cell_length_a 4.687
_cell_length_b 4.864
_cell_length_c 10.056
_cell_angle_alpha 90.00
_cell_angle_beta 90.00
_cell_angle_gamma 90.00
loop_
_atom_site_label
_atom_site_type_symbol
_atom_site_fract_x
_atom_site_fract_y
_atom_site_fract_z
Ca1 Ca 0.000 0.000 0.000
Pb1 Pb 0.000 0.000 0.500
Pb2 Pb 0.000 0.500 0.251
```

***

No. 2
A relaxed structure of Ca2Pd2Pb, computed with PBEsol.

The structure in CIF format:
```
data_Ca2Pd2Pb
_chemical_formula_sum 'Ca4 Pd4 Pb2'
_symmetry_space_group_name_H-M 'I 4/m m m'
_symmetry_Int_Tables_number 139
_symmetry_space_group_name_Hall '-I 4 2'
_cell_length_a 5.525
_cell_length_b 5.525
_cell_length_c 7.972
_cell_angle_alpha 90.00
_cell_angle_beta 90.00
_cell_angle_gamma 90.00
loop_
_atom_site_label
_atom_site_type_symbol
_atom_site_fract_x
_atom_site_fract_y
_atom_site_fract_z
Ca1 Ca 0.000 0.500 0.250
Pd1 Pd 0.000 0.000 0.161
Pb1 Pb 0.000 0.000 0.500
```

***

No. 3
A relaxed structure of CaPd2Pb2, computed with PBEsol.

The structure in CIF format:
```
data_CaPd2Pb2
_chemical_formula_sum 'Ca2 Pd4 Pb4'
_symmetry_space_group_name_H-M 'P 4/m b m'
_symmetry_Int_Tables_number 127
_symmetry_space_group_name_Hall '-P 4 2ab'
_cell_length_a 7.832
_cell_length_b 7.832
_cell_length_c 3.538
_cell_angle_alpha 90.00
_cell_angle_beta 90.00
_cell_angle_gamma 90.00
loop_
_atom_site_label
_atom_site_type_symbol
_atom_site_fract_x
_atom_site_fract_y
_atom_site_fract_z
Ca1 Ca 0.000 0.000 0.000
Pd1 Pd 0.130 0.370 0.000
Pb1 Pb 0.161 0.661 0.500
```

***

No. 4
A relaxed structure of Ca2PdPb2, computed with PBEsol.

The structure in CIF format:
```
data_Ca2PdPb2
_chemical_formula_sum 'Ca4 Pd2 Pb4'
_symmetry_space_group_name_H-M 'P 4/m b m'
_symmetry_Int_Tables_number 127
_symmetry_space_group_name_Hall '-P 4 2ab'
_cell_length_a 7.321
_cell_length_b 7.321
_cell_length_c 4.859
_cell_angle_alpha 90.00
_cell_angle_beta 90.00
_cell_angle_gamma 90.00
loop_
_atom_site_label
_atom_site_type_symbol
_atom_site_fract_x
_atom_site_fract_y
_atom_site_fract_z
Ca1 Ca 0.165 0.335 0.000
Pd1 Pd 0.000 0.000 0.500
Pb1 Pb 0.147 0.647 0.500
```

***

| no. | ΔE_f (eV per atom) |
| --- | --- |
| 1 | -0.31 |
| 2 | -0.43 |
| 3 | -0.39 |
| 4 | -0.50 |